Density functional theory data (PBE) for a geometry-optimized NdSm2Hg8 structure.

Summary:
excess energy over the best structure of this formula in the dataset: 10.5 meV/atom
SG: No. 71
E: -20.3 eV per formula unit
E_form: -3.724 eV per formula unit

Cell lengths 5.1921, 7.4465, 8.7016 Å; angles 115.33, 107.36, 90.00 degrees
Sites, in units of the cell vectors:
Nd 0.5000 0.0000 0.0000
Sm 0.1915 0.6916 0.3831
Sm 0.8085 0.3084 0.6169
Hg 0.6489 0.8607 0.2978
Hg 0.3510 0.5629 0.7020
Hg 0.1575 0.1573 0.3149
Hg 0.0000 0.2908 0.0001
Hg 0.8425 0.8427 0.6851
Hg 0.6490 0.4371 0.2980
Hg 0.3511 0.1393 0.7022
Hg 0.0000 0.7092 0.9999